## P
Below is crystalline BaMnFe3 at its relaxed geometry, with properties calculated at the PBE level.

```
data_BaMnFe3
_chemical_formula_sum 'Ba1 Mn1 Fe3'
_symmetry_space_group_name_H-M 'P 1'
_symmetry_Int_Tables_number 1
_symmetry_space_group_name_Hall 'P 1'
_cell_length_a 4.5760
_cell_length_b 4.5760
_cell_length_c 4.5760
_cell_angle_alpha 90.00
_cell_angle_beta 90.00
_cell_angle_gamma 90.00
loop_
_atom_site_label
_atom_site_type_symbol
_atom_site_fract_x
_atom_site_fract_y
_atom_site_fract_z
Fe1 Fe 0.5000 0.0000 0.0000
Fe2 Fe 0.0000 0.5000 0.0000
Fe3 Fe 0.0000 0.0000 0.5000
Mn1 Mn 0.0000 0.0000 0.0000
Ba1 Ba 0.5000 0.5000 0.5000
```

Calculated values
**Space-group type**: Pm-3m



## Q
Below is crystalline BaMnFe3 at its relaxed geometry, with properties calculated at the PBE level.

```
data_BaMnFe3
_chemical_formula_sum 'Ba1 Mn1 Fe3'
_symmetry_space_group_name_H-M 'P 1'
_symmetry_Int_Tables_number 1
_symmetry_space_group_name_Hall 'P 1'
_cell_length_a 4.8312
_cell_length_b 4.8312
_cell_length_c 4.8312
_cell_angle_alpha 90.00
_cell_angle_beta 90.00
_cell_angle_gamma 90.00
loop_
_atom_site_label
_atom_site_type_symbol
_atom_site_fract_x
_atom_site_fract_y
_atom_site_fract_z
Fe1 Fe 0.5000 0.0000 0.0000
Fe2 Fe 0.0000 0.5000 0.0000
Ba1 Ba 0.0000 0.0000 0.0000
Mn1 Mn 0.5000 0.5000 0.5000
Fe3 Fe 0.0000 0.0000 0.5000
```

Calculated values
**Space-group type**: Pm-3m



Ordering by calculated energy gives the sequence P, Q, with the first entry being the most stable.



## P
Below is crystalline BaMnFe at its relaxed geometry, with properties calculated at the PBE level.

```
data_BaMnFe
_chemical_formula_sum 'Ba1 Mn1 Fe1'
_symmetry_space_group_name_H-M 'P 1'
_symmetry_Int_Tables_number 1
_symmetry_space_group_name_Hall 'P 1'
_cell_length_a 6.2029
_cell_length_b 6.2029
_cell_length_c 6.2029
_cell_angle_alpha 147.19
_cell_angle_beta 147.19
_cell_angle_gamma 47.08
loop_
_atom_site_label
_atom_site_type_symbol
_atom_site_fract_x
_atom_site_fract_y
_atom_site_fract_z
Ba1 Ba 0.9975 0.9975 0.0000
Mn1 Mn 0.7198 0.7198 0.0000
Fe1 Fe 0.2827 0.2827 0.0000
```

Calculated values
**Space-group type**: I4mm



## Q
Below is crystalline BaMnFe at its relaxed geometry, with properties calculated at the PBE level.

```
data_BaMnFe
_chemical_formula_sum 'Ba1 Mn1 Fe1'
_symmetry_space_group_name_H-M 'P 1'
_symmetry_Int_Tables_number 1
_symmetry_space_group_name_Hall 'P 1'
_cell_length_a 5.1957
_cell_length_b 5.1957
_cell_length_c 5.1957
_cell_angle_alpha 60.00
_cell_angle_beta 60.00
_cell_angle_gamma 60.00
loop_
_atom_site_label
_atom_site_type_symbol
_atom_site_fract_x
_atom_site_fract_y
_atom_site_fract_z
Fe1 Fe 0.0000 0.0000 0.0000
Mn1 Mn 0.5000 0.5000 0.5000
Ba1 Ba 0.2500 0.2500 0.2500
```

Calculated values
**Space-group type**: F-43m



Ordering by calculated energy gives the sequence P, Q, with the first entry being the most stable.



## P
Below is crystalline BaMnFe at its relaxed geometry, with properties calculated at the PBE level.

```
data_BaMnFe
_chemical_formula_sum 'Ba1 Mn1 Fe1'
_symmetry_space_group_name_H-M 'P 1'
_symmetry_Int_Tables_number 1
_symmetry_space_group_name_Hall 'P 1'
_cell_length_a 4.8580
_cell_length_b 4.8580
_cell_length_c 4.8580
_cell_angle_alpha 60.00
_cell_angle_beta 60.00
_cell_angle_gamma 60.00
loop_
_atom_site_label
_atom_site_type_symbol
_atom_site_fract_x
_atom_site_fract_y
_atom_site_fract_z
Mn1 Mn 0.0000 0.0000 0.0000
Ba1 Ba 0.5000 0.5000 0.5000
Fe1 Fe 0.2500 0.2500 0.2500
```

Calculated values
**Space-group type**: F-43m



## Q
Below is crystalline BaMnFe at its relaxed geometry, with properties calculated at the PBE level.

```
data_BaMnFe
_chemical_formula_sum 'Ba1 Mn1 Fe1'
_symmetry_space_group_name_H-M 'P 1'
_symmetry_Int_Tables_number 1
_symmetry_space_group_name_Hall 'P 1'
_cell_length_a 4.0179
_cell_length_b 4.0179
_cell_length_c 5.3275
_cell_angle_alpha 90.00
_cell_angle_beta 90.00
_cell_angle_gamma 120.00
loop_
_atom_site_label
_atom_site_type_symbol
_atom_site_fract_x
_atom_site_fract_y
_atom_site_fract_z
Fe1 Fe 0.3333 0.6667 0.5000
Mn1 Mn 0.6667 0.3333 0.5000
Ba1 Ba 0.0000 0.0000 0.0000
```

Calculated values
**Space-group type**: P-6m2



Ordering by calculated energy gives the sequence Q, P, with the first entry being the most stable.



## P
Below is crystalline BaMn3Fe at its relaxed geometry, with properties calculated at the PBE level.

```
data_BaMn3Fe
_chemical_formula_sum 'Ba1 Mn3 Fe1'
_symmetry_space_group_name_H-M 'P 1'
_symmetry_Int_Tables_number 1
_symmetry_space_group_name_Hall 'P 1'
_cell_length_a 4.7380
_cell_length_b 4.7380
_cell_length_c 4.7380
_cell_angle_alpha 90.00
_cell_angle_beta 90.00
_cell_angle_gamma 90.00
loop_
_atom_site_label
_atom_site_type_symbol
_atom_site_fract_x
_atom_site_fract_y
_atom_site_fract_z
Fe1 Fe 0.0000 0.0000 0.0000
Mn1 Mn 0.5000 0.0000 0.0000
Ba1 Ba 0.5000 0.5000 0.5000
Mn2 Mn 0.0000 0.5000 0.0000
Mn3 Mn 0.0000 0.0000 0.5000
```

Calculated values
**Space-group type**: Pm-3m



## Q
Below is crystalline BaMn3Fe at its relaxed geometry, with properties calculated at the PBE level.

```
data_BaMn3Fe
_chemical_formula_sum 'Ba1 Mn3 Fe1'
_symmetry_space_group_name_H-M 'P 1'
_symmetry_Int_Tables_number 1
_symmetry_space_group_name_Hall 'P 1'
_cell_length_a 4.6133
_cell_length_b 4.6133
_cell_length_c 4.6133
_cell_angle_alpha 90.00
_cell_angle_beta 90.00
_cell_angle_gamma 90.00
loop_
_atom_site_label
_atom_site_type_symbol
_atom_site_fract_x
_atom_site_fract_y
_atom_site_fract_z
Fe1 Fe 0.5000 0.5000 0.5000
Ba1 Ba 0.0000 0.0000 0.0000
Mn1 Mn 0.0000 0.0000 0.5000
Mn2 Mn 0.5000 0.0000 0.0000
Mn3 Mn 0.0000 0.5000 0.0000
```

Calculated values
**Space-group type**: Pm-3m



Ordering by calculated energy gives the sequence P, Q, with the first entry being the most stable.



## P
Below is crystalline Ba2Fe2Mo at its relaxed geometry, with properties calculated at the PBE level.

```
data_Ba2Fe2Mo
_chemical_formula_sum 'Ba4 Fe4 Mo2'
_symmetry_space_group_name_H-M 'P 1'
_symmetry_Int_Tables_number 1
_symmetry_space_group_name_Hall 'P 1'
_cell_length_a 6.4451
_cell_length_b 6.4451
_cell_length_c 5.5896
_cell_angle_alpha 90.00
_cell_angle_beta 90.00
_cell_angle_gamma 90.00
loop_
_atom_site_label
_atom_site_type_symbol
_atom_site_fract_x
_atom_site_fract_y
_atom_site_fract_z
Ba1 Ba 0.1834 0.6834 0.5000
Fe1 Fe 0.8735 0.6265 0.0000
Ba2 Ba 0.3166 0.1834 0.5000
Fe2 Fe 0.1265 0.3735 0.0000
Ba3 Ba 0.8166 0.3166 0.5000
Fe3 Fe 0.6265 0.1265 0.0000
Ba4 Ba 0.6834 0.8166 0.5000
Fe4 Fe 0.3735 0.8735 0.0000
Mo1 Mo 0.5000 0.5000 0.0000
Mo2 Mo 0.0000 0.0000 0.0000
```

Calculated values
**Space-group type**: P4/mbm



## Q
Below is crystalline Ba2Fe2Mo at its relaxed geometry, with properties calculated at the PBE level.

```
data_Ba2Fe2Mo
_chemical_formula_sum 'Ba4 Fe4 Mo2'
_symmetry_space_group_name_H-M 'P 1'
_symmetry_Int_Tables_number 1
_symmetry_space_group_name_Hall 'P 1'
_cell_length_a 8.9094
_cell_length_b 8.9094
_cell_length_c 3.1820
_cell_angle_alpha 90.00
_cell_angle_beta 90.00
_cell_angle_gamma 90.00
loop_
_atom_site_label
_atom_site_type_symbol
_atom_site_fract_x
_atom_site_fract_y
_atom_site_fract_z
Mo1 Mo 0.5000 0.5000 0.0000
Ba1 Ba 0.1420 0.3580 0.0000
Mo2 Mo 0.0000 0.0000 0.0000
Fe1 Fe 0.3336 0.1664 0.5000
Ba2 Ba 0.6420 0.1420 0.0000
Ba3 Ba 0.3580 0.8580 0.0000
Fe2 Fe 0.1664 0.6664 0.5000
Ba4 Ba 0.8580 0.6420 0.0000
Fe3 Fe 0.6664 0.8336 0.5000
Fe4 Fe 0.8336 0.3336 0.5000
```

Calculated values
**Space-group type**: P4/mbm



## R
Below is crystalline Ba2Fe2Mo at its relaxed geometry, with properties calculated at the PBE level.

```
data_Ba2Fe2Mo
_chemical_formula_sum 'Ba2 Fe2 Mo1'
_symmetry_space_group_name_H-M 'P 1'
_symmetry_Int_Tables_number 1
_symmetry_space_group_name_Hall 'P 1'
_cell_length_a 3.2024
_cell_length_b 3.2024
_cell_length_c 11.4156
_cell_angle_alpha 81.94
_cell_angle_beta 81.94
_cell_angle_gamma 90.00
loop_
_atom_site_label
_atom_site_type_symbol
_atom_site_fract_x
_atom_site_fract_y
_atom_site_fract_z
Mo1 Mo 0.0000 0.0000 0.0000
Fe1 Fe 0.7500 0.2500 0.5000
Ba1 Ba 0.6197 0.6197 0.7606
Ba2 Ba 0.3803 0.3803 0.2394
Fe2 Fe 0.2500 0.7500 0.5000
```

Calculated values
**Space-group type**: I4/mmm



## S
Below is crystalline Ba2Fe2Mo at its relaxed geometry, with properties calculated at the PBE level.

```
data_Ba2Fe2Mo
_chemical_formula_sum 'Ba2 Fe2 Mo1'
_symmetry_space_group_name_H-M 'P 1'
_symmetry_Int_Tables_number 1
_symmetry_space_group_name_Hall 'P 1'
_cell_length_a 4.5274
_cell_length_b 4.5274
_cell_length_c 7.0652
_cell_angle_alpha 71.31
_cell_angle_beta 71.31
_cell_angle_gamma 90.00
loop_
_atom_site_label
_atom_site_type_symbol
_atom_site_fract_x
_atom_site_fract_y
_atom_site_fract_z
Fe1 Fe 0.4230 0.4230 0.1540
Ba1 Ba 0.2500 0.7500 0.5000
Mo1 Mo 0.0000 0.0000 0.0000
Ba2 Ba 0.7500 0.2500 0.5000
Fe2 Fe 0.5770 0.5770 0.8460
```

Calculated values
**Space-group type**: I4/mmm



Ordering by calculated energy gives the sequence P, R, Q, S, with the first entry being the most stable.



## P
Below is crystalline BaFe3N at its relaxed geometry, with properties calculated at the PBE level.

```
data_BaFe3N
_chemical_formula_sum 'Ba1 Fe3 N1'
_symmetry_space_group_name_H-M 'P 1'
_symmetry_Int_Tables_number 1
_symmetry_space_group_name_Hall 'P 1'
_cell_length_a 4.9510
_cell_length_b 4.9510
_cell_length_c 4.9510
_cell_angle_alpha 90.00
_cell_angle_beta 90.00
_cell_angle_gamma 90.00
loop_
_atom_site_label
_atom_site_type_symbol
_atom_site_fract_x
_atom_site_fract_y
_atom_site_fract_z
Fe1 Fe 0.0000 0.5000 0.0000
Fe2 Fe 0.0000 0.0000 0.5000
Fe3 Fe 0.5000 0.0000 0.0000
N1 N 0.5000 0.5000 0.5000
Ba1 Ba 0.0000 0.0000 0.0000
```

Calculated values
**Space-group type**: Pm-3m



## Q
Below is crystalline BaFe3N at its relaxed geometry, with properties calculated at the PBE level.

```
data_BaFe3N
_chemical_formula_sum 'Ba1 Fe3 N1'
_symmetry_space_group_name_H-M 'P 1'
_symmetry_Int_Tables_number 1
_symmetry_space_group_name_Hall 'P 1'
_cell_length_a 4.0578
_cell_length_b 4.0578
_cell_length_c 4.0578
_cell_angle_alpha 90.00
_cell_angle_beta 90.00
_cell_angle_gamma 90.00
loop_
_atom_site_label
_atom_site_type_symbol
_atom_site_fract_x
_atom_site_fract_y
_atom_site_fract_z
Fe1 Fe 0.0000 0.0000 0.5000
Ba1 Ba 0.5000 0.5000 0.5000
Fe2 Fe 0.0000 0.5000 0.0000
Fe3 Fe 0.5000 0.0000 0.0000
N1 N 0.0000 0.0000 0.0000
```

Calculated values
**Space-group type**: Pm-3m



Ordering by calculated energy gives the sequence Q, P, with the first entry being the most stable.